Record 1
AcPr2Ho9 | PBE | relaxed

Results
For the calculated formation energy, the calculation gives 0.46 eV per formula unit. The density of states at the Fermi level comes out at 1.478 states/eV per atom. Its final energy is -4.53 eV per atom.

Cell: 5.0825 5.0825 15.2564 Å, 90.00 90.00 90.00°
With the nearest neighbours (Å) after each atom.
Positions (direct):
Ac  0.0000  0.0000  0.0000  12 Ho 3.59-3.65
Ho  0.0000  0.5000  0.5000  8 Ho 3.57-3.59, 4 Pr 3.58
Pr  0.0000  0.0000  0.3346  12 Ho 3.55-3.59
Ho  0.5000  0.5000  0.0000  4 Ac 3.59, 8 Ho 3.65
Ho  0.5000  0.5000  0.6643  8 Ho 3.57, 4 Pr 3.59
Ho  0.0000  0.5000  0.1716  2 Pr 3.55, 8 Ho 3.57-3.65, 2 Ac 3.65
Ho  0.5000  0.0000  0.8284  2 Pr 3.55, 8 Ho 3.57-3.65, 2 Ac 3.65
Ho  0.0000  0.5000  0.8284  2 Pr 3.55, 8 Ho 3.57-3.65, 2 Ac 3.65
Ho  0.5000  0.5000  0.3357  8 Ho 3.57, 4 Pr 3.59
Ho  0.5000  0.0000  0.5000  8 Ho 3.57-3.59, 4 Pr 3.58
Pr  0.0000  0.0000  0.6654  12 Ho 3.55-3.59
Ho  0.5000  0.0000  0.1716  2 Pr 3.55, 8 Ho 3.57-3.65, 2 Ac 3.65



Record 2
Li2CrRe | PBE | relaxed

Results
For the calculated formation energy, the calculation gives 3.80 eV per formula unit. The density of states at the Fermi level comes out at 0.816 states/eV per atom. Its final energy is -5.53 eV per atom.

Cell: 6.8234 6.8234 5.3774 Å, 50.62 50.62 90.00°
With the nearest neighbours (Å) after each atom.
Positions (direct):
Cr  0.5000  0.5000  0.0000  2 Re 2.37, 4 Li 2.44
Li  0.6158  0.1250  0.2500  2 Li 2.38, 2 Cr 2.44, 2 Re 2.53
Li  0.3750  0.3842  0.7500  2 Li 2.38, 2 Cr 2.44, 2 Re 2.53
Re  0.7500  0.2500  0.5000  2 Cr 2.37, 4 Li 2.53
Li  0.8750  0.8658  0.7500  2 Li 2.38, 2 Cr 2.44, 2 Re 2.53
Li  0.1342  0.6250  0.2500  2 Li 2.38, 2 Cr 2.44, 2 Re 2.53
Re  0.0000  0.0000  0.0000  2 Cr 2.37, 4 Li 2.53
Cr  0.2500  0.7500  0.5000  2 Re 2.37, 4 Li 2.44



Record 3
BeMo2Cl | PBE | relaxed

Results
The density of states at the Fermi level comes out at 0.492 states/eV per atom. Its final energy is -5.94 eV per atom.

Cell: 4.3684 4.3684 4.3684 Å, 60.00 60.00 60.00°
With the nearest neighbours (Å) after each atom.
Positions (direct):
Cl  0.7500  0.7500  0.7500  4 Mo 2.68, 4 Be 2.68
Be  0.5000  0.5000  0.5000  4 Cl 2.68, 4 Mo 2.68
Mo  0.0000  0.0000  0.0000  4 Cl 2.68, 4 Mo 2.68
Mo  0.2500  0.2500  0.2500  4 Mo 2.68, 4 Be 2.68



Record 4
InPt2W | PBE | relaxed

Results
For the calculated formation energy, the calculation gives 0.50 eV per formula unit. The density of states at the Fermi level comes out at 1.158 states/eV per atom. Its final energy is -6.82 eV per atom.

Cell: 4.1709 4.0174 4.0174 Å, 90.00 90.00 90.00°
With the nearest neighbours (Å) after each atom.
Positions (direct):
W  0.5000  0.5000  0.0000  4 In 2.84, 8 Pt 2.90
Pt  0.0000  0.0000  0.0000  4 Pt 2.84, 4 In 2.90, 4 W 2.90
In  0.5000  0.0000  0.5000  4 W 2.84, 8 Pt 2.90
Pt  0.0000  0.5000  0.5000  4 Pt 2.84, 4 In 2.90, 4 W 2.90



Record 5
LaTcRu2 | PBE | relaxed

Results
For the calculated formation energy, the calculation gives 1.24 eV per formula unit. The density of states at the Fermi level comes out at 1.159 states/eV per atom. Its final energy is -8.15 eV per atom.

Cell: 5.1027 5.1027 5.0814 Å, 78.50 78.50 34.27°
With the nearest neighbours (Å) after each atom.
Positions (direct):
La  0.7497  0.7497  0.7560  7 Ru 2.92-3.17, 3 Tc 2.98-3.23, 2 La 3.01
Ru  0.9749  0.9749  0.0547  2 Tc 2.57, 2 Ru 2.70
Tc  0.5274  0.5274  0.4318  4 Ru 2.57-2.62
Ru  0.2480  0.2480  0.2575  2 Tc 2.62, 2 Ru 2.70



Record 6
CaMn2Be | PBE | relaxed

Results
For the calculated formation energy, the calculation gives 3.00 eV per formula unit. The density of states at the Fermi level comes out at 0.943 states/eV per atom. Its final energy is -5.27 eV per atom.

Cell: 5.3651 5.0239 2.8200 Å, 86.35 76.53 116.84°
With the nearest neighbours (Å) after each atom.
Positions (direct):
Mn  0.0000  0.5000  0.5000  2 Ca 2.72, 2 Be 2.72, 6 Mn 2.80-2.96
Mn  0.0000  0.0000  0.0000  2 Be 2.72, 2 Ca 2.72, 6 Mn 2.80-2.96
Be  0.5000  0.5000  0.0000  4 Mn 2.72, 4 Ca 2.80-2.96, 2 Be 2.82
Ca  0.5000  0.0000  0.5000  4 Mn 2.72, 4 Be 2.80-2.96, 2 Ca 2.82



Record 7
TiNbB4 | PBE | relaxed

Results
For the calculated formation energy, the calculation gives -5.38 eV per formula unit. The density of states at the Fermi level comes out at 0.375 states/eV per atom. Its final energy is -8.34 eV per atom.

Cell: 3.0771 3.0771 6.5616 Å, 90.00 90.00 120.00°
With the nearest neighbours (Å) after each atom.
Positions (direct):
B  0.3333  0.6667  0.2589  3 B 1.78
B  0.6667  0.3333  0.2589  3 B 1.78
Ti  0.0000  0.0000  0.5000  12 B 2.38
B  0.6667  0.3333  0.7411  3 B 1.78
B  0.3333  0.6667  0.7411  3 B 1.78
Nb  0.0000  0.0000  0.0000  12 B 2.46



Record 8
RbBiP2S | PBE | relaxed

Results
The density of states at the Fermi level comes out at 0.558 states/eV per atom. Its final energy is -3.50 eV per atom.

Cell: 5.4562 5.4562 5.5039 Å, 90.00 90.00 90.00°
With the nearest neighbours (Å) after each atom.
Positions (direct):
Bi  0.0000  0.0000  0.0000  4 P 2.73, 2 S 2.75
P  0.5000  0.0000  0.0000  2 Bi 2.73
Rb  0.5000  0.5000  0.5000  4 S 3.86, 8 P 3.88
S  0.0000  0.0000  0.5000  2 Bi 2.75
P  0.0000  0.5000  0.0000  2 Bi 2.73



Record 9
TlCrSe4 | PBE | relaxed

Results
The density of states at the Fermi level comes out at 0.284 states/eV per atom. Its final energy is -3.85 eV per atom.

Cell: 5.8702 5.8702 5.8702 Å, 60.00 60.00 60.00°
With the nearest neighbours (Å) after each atom.
Positions (direct):
Se  0.3744  0.3744  0.8769  6 Se 2.92-2.95
Se  0.3744  0.8769  0.3744  6 Se 2.92-2.95
Se  0.3744  0.3744  0.3744  6 Se 2.92-2.95
Tl  0.7500  0.7500  0.7500  12 Se 3.44, 4 Cr 3.59
Se  0.8769  0.3744  0.3744  6 Se 2.92-2.95
Cr  0.0000  0.0000  0.0000  12 Se 3.44, 4 Tl 3.59



Record 10
Tb3HgS6 | PBE | relaxed

Results
The density of states at the Fermi level comes out at 0.893 states/eV per atom. Its final energy is -5.38 eV per atom.

Cell: 6.7144 8.4926 8.4926 Å, 101.86 90.00 90.00°
With the nearest neighbours (Å) after each atom.
Positions (direct):
S  0.1335  0.7741  0.2259  1 Hg 2.47
S  0.2209  0.4519  0.9088  1 Hg 2.60, 3 Tb 2.77-2.88
Tb  0.9810  0.0854  0.2813  7 S 2.73-2.94
S  0.1922  0.0292  0.9708  1 Hg 2.65, 4 Tb 2.90-2.94
Tb  0.8898  0.5979  0.4021  7 S 2.77-2.84
S  0.6838  0.6297  0.6945  4 Tb 2.73-2.81
S  0.6838  0.3055  0.3703  4 Tb 2.73-2.81
Tb  0.4810  0.9146  0.7187  7 S 2.73-2.94
S  0.2209  0.0912  0.5481  1 Hg 2.60, 3 Tb 2.77-2.88
Hg  0.4986  0.7956  0.2044  4 S 2.47-2.65
Tb  0.4810  0.2813  0.0854  7 S 2.73-2.94
S  0.7209  0.5481  0.0912  1 Hg 2.60, 3 Tb 2.77-2.88
S  0.7209  0.9088  0.4519  1 Hg 2.60, 3 Tb 2.77-2.88
Hg  0.9986  0.2044  0.7956  4 S 2.47-2.65
S  0.1838  0.3703  0.3055  4 Tb 2.73-2.81
S  0.1838  0.6945  0.6297  4 Tb 2.73-2.81
Tb  0.9810  0.7187  0.9146  7 S 2.73-2.94
S  0.6335  0.2259  0.7741  1 Hg 2.47
S  0.6922  0.9708  0.0292  1 Hg 2.65, 4 Tb 2.90-2.94
Tb  0.3898  0.4021  0.5979  7 S 2.77-2.84



Record 11
Dy2TmSn3 | PBE | relaxed

Results
For the calculated formation energy, the calculation gives -3.30 eV per formula unit. The density of states at the Fermi level comes out at 0.514 states/eV per atom. Its final energy is -4.83 eV per atom.

Cell: 3.5912 6.2047 8.5047 Å, 111.39 102.19 90.00°
With the nearest neighbours (Å) after each atom.
Positions (direct):
Sn  0.3349  0.3349  0.6697  4 Dy 3.10-3.15, 2 Tm 3.12
Dy  0.6673  0.1673  0.3346  6 Sn 3.10-3.15
Sn  0.6651  0.6651  0.3303  4 Dy 3.10-3.15, 2 Tm 3.12
Dy  0.3327  0.8327  0.6654  6 Sn 3.10-3.15
Sn  0.0000  0.0000  0.0000  2 Tm 3.10, 4 Dy 3.14
Tm  0.0000  0.5000  0.0000  6 Sn 3.10-3.12



Record 12
NaVCd | PBE | relaxed

Results
For the calculated formation energy, the calculation gives 0.98 eV per formula unit. The density of states at the Fermi level comes out at 0.500 states/eV per atom. Its final energy is -3.46 eV per atom.

Cell: 2.9505 5.0339 8.7323 Å, 90.00 91.57 90.00°
With the nearest neighbours (Å) after each atom.
Positions (direct):
Na  0.3766  0.0000  0.4333  2 Na 2.95, 3 Cd 3.06-3.25
V  0.1171  0.5000  0.9769  1 V 1.90
V  0.3995  0.5000  0.1754  1 V 1.90
Cd  0.5247  0.0000  0.8040  3 Cd 2.94-2.95, 2 V 3.19, 3 Na 3.20-3.25
Cd  0.8685  0.0000  0.1233  6 V 2.91-2.99, 3 Cd 2.94-2.95, 2 Na 3.06-3.11
Na  0.9324  0.5000  0.6276  2 Na 2.95, 1 V 3.08, 2 Cd 3.20



Record 13
TaAg2As | PBE | relaxed

Results
For the calculated formation energy, the calculation gives 0.87 eV per formula unit. The density of states at the Fermi level comes out at 0.497 states/eV per atom. Its final energy is -5.33 eV per atom.

Cell: 5.0502 5.7524 2.8402 Å, 80.28 79.76 113.27°
With the nearest neighbours (Å) after each atom.
Positions (direct):
Ag  0.5000  0.0000  0.5000  4 Ag 2.67-2.84, 2 As 2.98, 2 Ta 2.99
As  0.0000  0.5000  0.5000  2 Ta 2.67, 2 As 2.84, 4 Ag 2.98-2.99
Ta  0.5000  0.5000  0.0000  2 As 2.67, 2 Ta 2.84, 4 Ag 2.98-2.99
Ag  0.0000  0.0000  0.0000  4 Ag 2.67-2.84, 2 Ta 2.98, 2 As 2.99



Record 14
CeSiAg | PBE | relaxed

Results
The density of states at the Fermi level comes out at 1.982 states/eV per atom. Its final energy is -5.16 eV per atom.

Cell: 3.8116 4.4338 8.4475 Å, 74.76 77.39 90.00°
With the nearest neighbours (Å) after each atom.
Positions (direct):
Si  0.5181  0.1847  0.5790  2 Si 2.34, 1 Ag 2.54
Ce  0.0779  0.7462  0.4560  6 Si 3.08-3.22, 4 Ag 3.31-3.32
Ce  0.3759  0.5378  0.8724  6 Si 3.08-3.22, 4 Ag 3.31-3.32
Ag  0.6739  0.3445  0.2590  1 Si 2.54, 2 Ag 2.68
Ag  0.7799  0.9396  0.0692  1 Si 2.54, 2 Ag 2.68
Si  0.9358  0.0994  0.7493  2 Si 2.34, 1 Ag 2.54



Record 15
LiRe3 | PBE | relaxed

Results
For the calculated formation energy, the calculation gives 0.92 eV per formula unit. The density of states at the Fermi level comes out at 0.721 states/eV per atom. Its final energy is -9.58 eV per atom.

Cell: 5.0691 5.0691 5.0691 Å, 145.22 129.13 63.10°
With the nearest neighbours (Å) after each atom.
Positions (direct):
Re  0.3395  0.7560  0.5835  6 Re 2.60-2.65, 2 Li 2.68
Re  0.5832  0.5000  0.0832  4 Re 2.60, 4 Li 2.65
Li  0.0831  0.0000  0.0831  8 Re 2.65-2.68
Re  0.8275  0.2440  0.5835  6 Re 2.60-2.65, 2 Li 2.68



Record 16
MgRu2Pb | PBE | relaxed

Results
For the calculated formation energy, the calculation gives 1.51 eV per formula unit. The density of states at the Fermi level comes out at 1.442 states/eV per atom. Its final energy is -5.59 eV per atom.

Cell: 5.0731 5.0731 5.0731 Å, 133.16 133.16 68.40°
With the nearest neighbours (Å) after each atom.
Positions (direct):
Ru  0.2500  0.7500  0.5000  4 Pb 2.85, 4 Mg 2.91, 4 Ru 2.91
Pb  0.7500  0.2500  0.5000  8 Ru 2.85-2.91, 4 Mg 2.91
Ru  0.0000  0.0000  0.0000  4 Mg 2.85, 4 Pb 2.91, 4 Ru 2.91
Mg  0.5000  0.5000  0.0000  8 Ru 2.85-2.91, 4 Pb 2.91



Record 17
CsHSe2Br | PBE | relaxed

Results
The density of states at the Fermi level comes out at 0.830 states/eV per atom. Its final energy is -1.67 eV per atom.

Cell: 6.7171 4.1394 6.7171 Å, 90.00 90.00 90.00°
With the nearest neighbours (Å) after each atom.
Positions (direct):
H  0.0000  0.5000  0.0000  2 Cs 2.07
Se  0.0000  0.0000  0.5000  2 Cs 3.36
Se  0.5000  0.0000  0.0000  2 Cs 3.36
Cs  0.0000  0.0000  0.0000  2 H 2.07
Br  0.5000  0.5000  0.5000  8 Se 3.95, 2 Br 4.14



Record 18
La2MnTcOs | PBE | relaxed

Results
For the calculated formation energy, the calculation gives 4.62 eV per formula unit. The density of states at the Fermi level comes out at 1.603 states/eV per atom. Its final energy is -7.20 eV per atom.

Cell: 5.1577 4.4358 5.1577 Å, 90.00 90.00 90.00°
With the nearest neighbours (Å) after each atom.
Positions (direct):
Os  0.0000  0.5000  0.0000  2 Mn 2.22
Tc  0.5000  0.5000  0.5000  8 La 3.40, 4 Os 3.65
La  0.5000  0.0000  0.0000  2 Mn 2.58
La  0.0000  0.0000  0.5000  2 Mn 2.58
Mn  0.0000  0.0000  0.0000  2 Os 2.22



Record 19
Rb2RePtBr6 | PBE | relaxed

Results
The density of states at the Fermi level comes out at 0.082 states/eV per atom. Its final energy is -3.63 eV per atom.

Cell: 7.4043 7.4043 7.7792 Å, 61.58 61.58 90.00°
With the nearest neighbours (Å) after each atom.
Positions (direct):
Rb  0.7500  0.2500  0.5000  12 Br 3.72-3.89
Br  0.7508  0.7508  0.0000  1 Pt 2.61, 1 Re 2.63
Pt  0.0000  0.0000  0.0000  4 Br 2.61
Br  0.7508  0.2492  0.0000  1 Pt 2.61, 1 Re 2.63
Br  0.2777  0.2777  0.4446  1 Re 2.56
Br  0.2492  0.2492  0.0000  1 Pt 2.61, 1 Re 2.63
Re  0.5000  0.5000  0.0000  6 Br 2.56-2.63
Br  0.2492  0.7508  0.0000  1 Pt 2.61, 1 Re 2.63
Br  0.7223  0.7223  0.5554  1 Re 2.56
Rb  0.2500  0.7500  0.5000  12 Br 3.72-3.89



Record 20
BPt3Br | PBE | relaxed

Results
The density of states at the Fermi level comes out at 0.278 states/eV per atom. Its final energy is -3.32 eV per atom.

Cell: 4.7562 4.7562 4.7562 Å, 90.00 90.00 90.00°
With the nearest neighbours (Å) after each atom.
Positions (direct):
Pt  0.0000  0.0000  0.5000  2 Br 2.38
Br  0.0000  0.0000  0.0000  6 Pt 2.38
Pt  0.0000  0.5000  0.0000  2 Br 2.38
B  0.5000  0.5000  0.5000  12 Pt 3.36
Pt  0.5000  0.0000  0.0000  2 Br 2.38